[1]
# SnRuSe2Br

SnRuSe2Br at its PBEsol-relaxed geometry (SCAN, the Alexandria database).

Cell lengths 5.190, 5.190, 5.282 Å; angles 90.00, 90.00, 90.00 degrees
Site moments in Bohr magnetons follow the coordinates.
Atoms (fractional coordinates):
1 Se 0.000 0.500 0.000  0.05
2 Se 0.500 0.000 0.000  0.05
3 Sn 0.000 0.000 0.000  0.01
4 Br 0.000 0.000 0.500  0.03
5 Ru 0.500 0.500 0.500  2.89

Results
total moment	3.37	μB per cell
uncorrected energy	-125.96	eV/cell
density of states at the Fermi level	0.689	states/eV/atom

[2]
# TeRuSe2Br

TeRuSe2Br at its PBEsol-relaxed geometry (SCAN, the Alexandria database).

Cell lengths 4.796, 4.796, 4.921 Å; angles 90.00, 90.00, 90.00 degrees
Atoms (fractional coordinates):
1 Se 0.000 0.500 0.000
2 Se 0.500 0.000 0.000
3 Br 0.000 0.000 0.500
4 Ru 0.000 0.000 0.000
5 Te 0.500 0.500 0.500

Results
total moment	0.00	μB per cell
uncorrected energy	-129.92	eV/cell
density of states at the Fermi level	0.895	states/eV/atom

[3]
# RuWSe2Br

RuWSe2Br at its PBEsol-relaxed geometry (SCAN, the Alexandria database).

Cell lengths 4.766, 4.766, 4.798 Å; angles 90.00, 90.00, 90.00 degrees
Site moments in Bohr magnetons follow the coordinates.
Atoms (fractional coordinates):
1 Br 0.000 0.000 0.500  0.00
2 Se 0.500 0.000 0.000  -0.32
3 Ru 0.000 0.000 0.000  -0.93
4 W 0.500 0.500 0.500  3.15
5 Se 0.000 0.500 0.000  -0.32

Results
total moment	2.33	μB per cell
uncorrected energy	-157.57	eV/cell
density of states at the Fermi level	0.717	states/eV/atom

[4]
# ZnRuSeBr2

ZnRuSeBr2 at its PBEsol-relaxed geometry (SCAN, the Alexandria database).

Cell lengths 4.602, 5.095, 5.095 Å; angles 90.00, 90.00, 90.00 degrees
Atoms (fractional coordinates):
1 Ru 0.000 0.000 0.000
2 Se 0.500 0.000 0.000
3 Zn 0.500 0.500 0.500
4 Br 0.000 0.000 0.500
5 Br 0.000 0.500 0.000

Results
total moment	0.00	μB per cell
uncorrected energy	-106.05	eV/cell
density of states at the Fermi level	0.545	states/eV/atom

[5]
# SiRu3Br

SiRu3Br at its PBEsol-relaxed geometry (SCAN, the Alexandria database).

Cell lengths 4.436, 4.436, 4.436 Å; angles 90.00, 90.00, 90.00 degrees
Site moments in Bohr magnetons follow the coordinates.
Atoms (fractional coordinates):
1 Ru 0.500 0.000 0.000  1.64
2 Ru 0.000 0.500 0.000  1.64
3 Si 0.000 0.000 0.000  -0.07
4 Ru 0.000 0.000 0.500  1.64
5 Br 0.500 0.500 0.500  0.19

Results
total moment	5.10	μB per cell
uncorrected energy	-128.50	eV/cell
density of states at the Fermi level	0.691	states/eV/atom

[6]
# YSiRuBr2

YSiRuBr2 at its PBEsol-relaxed geometry (SCAN, the Alexandria database).

Cell lengths 5.246, 5.246, 5.767 Å; angles 90.00, 90.00, 90.00 degrees
Site moments in Bohr magnetons follow the coordinates.
Atoms (fractional coordinates):
1 Si 0.000 0.000 0.500  -0.28
2 Br 0.500 0.000 0.000  0.01
3 Ru 0.500 0.500 0.500  2.95
4 Br 0.000 0.500 0.000  0.01
5 Y 0.000 0.000 0.000  -0.09

Results
total moment	2.39	μB per cell
uncorrected energy	-108.96	eV/cell
density of states at the Fermi level	0.854	states/eV/atom

[7]
# SnRuBr2

SnRuBr2 at its PBEsol-relaxed geometry (SCAN, the Alexandria database).

Cell lengths 4.924, 4.924, 4.924 Å; angles 60.00, 60.00, 60.00 degrees
Site moments in Bohr magnetons follow the coordinates.
Atoms (fractional coordinates):
1 Ru 0.000 0.000 0.000  2.25
2 Sn 0.500 0.500 0.500  -0.12
3 Br 0.250 0.250 0.250  0.08
4 Br 0.750 0.750 0.750  0.08

Results
total moment	2.25	μB per cell
uncorrected energy	-107.19	eV/cell
density of states at the Fermi level	0.746	states/eV/atom

[8]
# SrRu2Br

SrRu2Br at its PBEsol-relaxed geometry (SCAN, the Alexandria database).

Cell lengths 3.513, 4.485, 5.220 Å; angles 90.00, 90.00, 90.72 degrees
Atoms (fractional coordinates):
1 Br 0.500 0.000 0.500
2 Ru 0.379 0.250 0.000
3 Sr 0.000 0.500 0.500
4 Ru 0.621 0.750 0.000

Results
total moment	0.00	μB per cell
uncorrected energy	-109.73	eV/cell
density of states at the Fermi level	0.880	states/eV/atom

[9]
# SrRu2Br

SrRu2Br at its PBEsol-relaxed geometry (SCAN, the Alexandria database).

Cell lengths 3.019, 4.747, 5.827 Å; angles 114.04, 105.01, 90.00 degrees
Atoms (fractional coordinates):
1 Ru 0.276 0.276 0.551
2 Sr 0.500 0.000 0.000
3 Ru 0.724 0.724 0.449
4 Br 0.000 0.500 0.000

Results
total moment	0.00	μB per cell
uncorrected energy	-109.01	eV/cell
density of states at the Fermi level	1.284	states/eV/atom

[10]
# SrRu2Br

SrRu2Br at its PBEsol-relaxed geometry (SCAN, the Alexandria database).

Cell lengths 3.271, 3.299, 7.886 Å; angles 90.00, 101.97, 90.00 degrees
Atoms (fractional coordinates):
1 Ru 0.783 0.000 0.566
2 Br 0.944 0.500 0.887
3 Ru 0.221 0.500 0.443
4 Sr 0.573 0.000 0.146

Results
total moment	0.00	μB per cell
uncorrected energy	-111.24	eV/cell
density of states at the Fermi level	0.830	states/eV/atom

[11]
# SrRu2Br

SrRu2Br at its PBEsol-relaxed geometry (SCAN, the Alexandria database).

Cell lengths 3.718, 5.497, 5.497 Å; angles 61.45, 70.23, 70.23 degrees
Atoms (fractional coordinates):
1 Ru 0.327 0.173 0.173
2 Ru 0.981 0.019 0.019
3 Sr 0.494 0.506 0.506
4 Br 0.698 0.802 0.802

Results
total moment	0.00	μB per cell
uncorrected energy	-110.13	eV/cell
density of states at the Fermi level	1.055	states/eV/atom

[12]
# SrRuBr2

SrRuBr2 at its PBEsol-relaxed geometry (SCAN, the Alexandria database).

Cell lengths 3.490, 3.949, 7.594 Å; angles 105.07, 103.28, 90.00 degrees
Site moments in Bohr magnetons follow the coordinates.
Atoms (fractional coordinates):
1 Ru 0.504 0.504 0.008  1.31
2 Sr 0.184 0.684 0.369  -0.04
3 Br 0.792 0.292 0.585  0.00
4 Br 0.019 0.019 0.038  0.04

Results
total moment	1.31	μB per cell
uncorrected energy	-97.84	eV/cell
density of states at the Fermi level	0.532	states/eV/atom